[1]
Rb2SrU3S8 PBE optimized geometry; uncorrected formation energy = -1.43 eV per atom; calculated total energy = -6.462 eV/atom; volume = 449.98 Å³/f.u.; SG = R3m, No. 160; crystal system = trigonal; M_tot = 6.0 μB/cell
1.0
4.1281 2.3834 7.6225
-4.1281 2.3834 7.6225
0.0000 -4.7667 7.6225
Rb Sr U S
2 1 3 8
direct
0.0000 0.0000 0.0000
0.3650 0.3650 0.3650
0.6170 0.6170 0.6170
0.4967 0.9987 0.9987
0.9987 0.4967 0.9987
0.9987 0.9987 0.4967
0.2026 0.7421 0.7421
0.2258 0.2258 0.2258
0.2559 0.2559 0.8051
0.2559 0.8051 0.2559
0.7421 0.2026 0.7421
0.7421 0.7421 0.2026
0.7641 0.7641 0.7641
0.8051 0.2559 0.2559


[2]
Rb2SrWS4 PBE optimized geometry; uncorrected formation energy = -0.98 eV per atom; calculated total energy = -5.120 eV/atom; volume = 274.75 Å³/f.u.; SG = I-4, No. 82; crystal system = tetragonal; M_tot = 2.0 μB/cell
1.0
-3.8656 3.8656 4.5966
3.8656 -3.8656 4.5966
3.8656 3.8656 -4.5966
Rb Sr W S
2 1 1 4
direct
0.0000 0.0000 0.0000
0.7500 0.2500 0.5000
0.2500 0.7500 0.5000
0.5000 0.5000 0.0000
0.2110 0.5734 0.0376
0.4266 0.4642 0.6376
0.5358 0.1733 0.9624
0.8267 0.7890 0.3624


[3]
RbSrWS4 PBE optimized geometry; uncorrected formation energy = -1.13 eV per atom; calculated total energy = -5.713 eV/atom; volume = 212.60 Å³/f.u.; SG = P2_1/m, No. 11; crystal system = monoclinic; M_tot = 1.9 μB/cell
1.0
7.0355 0.0000 0.0000
0.0000 6.8870 0.0000
-2.6833 0.0000 8.7756
Rb Sr W S
2 2 2 8
direct
0.2233 0.2500 0.4332
0.7767 0.7500 0.5668
0.2650 0.2500 0.9485
0.7350 0.7500 0.0515
0.2819 0.7500 0.1800
0.7181 0.2500 0.8200
0.0889 0.7500 0.3368
0.0998 0.7500 0.9342
0.4918 0.0044 0.2208
0.4918 0.4956 0.2208
0.5082 0.5044 0.7792
0.5082 0.9956 0.7792
0.9002 0.2500 0.0658
0.9111 0.2500 0.6632